(1)
First-principles (PBE-GGA) data for crystalline ZrSi3 at its relaxed geometry, as listed in the Alexandria database.

abc: 4.7488 4.7488 3.1256
angles: 90.00 90.00 110.31
Atoms (fractional coordinates):
Si1 0.5000 0.5000 0.0000
Si2 0.0000 0.5000 0.5000
Si3 0.5000 0.0000 0.5000
Zr1 0.0000 0.0000 0.0000

Results
Fermi-level density of states (states/eV/cell): 2.1
Total magnetic moment (μB/f.u.): 0.000
Formation energy (no corrections) (meV per atom): -40
VASP energy (hartree per atom): -0.2295
SG: Cmmm (65)


(2)
First-principles (PBE-GGA) data for crystalline Ca2CoSbBr at its relaxed geometry, as listed in the Alexandria database.

abc: 5.6628 4.2485 5.6628
angles: 90.00 90.00 90.00
Atoms (fractional coordinates):
Ca1 0.0000 0.0000 0.5000
Ca2 0.5000 0.0000 0.0000
Br1 0.0000 0.5000 0.0000
Co1 0.0000 0.0000 0.0000
Sb1 0.5000 0.5000 0.5000

Results
Fermi-level density of states (states/eV/cell): 4.2
Total magnetic moment (μB/f.u.): 0.001
Formation energy (no corrections) (meV per atom): -298
VASP energy (hartree per atom): -0.1352
SG: P4/mmm (123)


(3)
First-principles (PBE-GGA) data for crystalline PmUCuIr at its relaxed geometry, as listed in the Alexandria database.

abc: 4.9218 4.9218 4.9218
angles: 60.00 60.00 60.00
Atoms (fractional coordinates):
Pm1 0.0000 0.0000 0.0000
Ir1 0.7500 0.7500 0.7500
Cu1 0.2500 0.2500 0.2500
U1 0.5000 0.5000 0.5000

Results
Fermi-level density of states (states/eV/cell): 8.9
Total magnetic moment (μB/f.u.): 2.514
VASP energy (hartree per atom): -0.2712
Formation enthalpy at 0 K (eV/atom): -0.13
SG: F-43m (216)


(4)
First-principles (PBE-GGA) data for crystalline DyHoBeGa at its relaxed geometry, as listed in the Alexandria database.

abc: 4.9303 4.9303 4.9303
angles: 60.00 60.00 60.00
Atoms (fractional coordinates):
Ga1 0.2500 0.2500 0.2500
Dy1 0.5000 0.5000 0.5000
Ho1 0.0000 0.0000 0.0000
Be1 0.7500 0.7500 0.7500

Results
Fermi-level density of states (states/eV/cell): 3.1
Total magnetic moment (μB/f.u.): 0.000
VASP energy (hartree per atom): -0.1553
Formation enthalpy at 0 K (eV/atom): -0.24
SG: F-43m (216)


(5)
First-principles (PBE-GGA) data for crystalline ScSbPd3 at its relaxed geometry, as listed in the Alexandria database.

abc: 4.3532 5.5854 7.6519
angles: 90.00 90.00 90.00
Atoms (fractional coordinates):
Pd1 0.0000 0.7405 0.2624
Pd2 0.0000 0.2595 0.2624
Pd3 0.0000 0.0000 0.9254
Pd4 0.5000 0.7595 0.7376
Pd5 0.5000 0.2405 0.7376
Pd6 0.5000 0.5000 0.0746
Sc1 0.5000 0.5000 0.4394
Sc2 0.0000 0.0000 0.5606
Sb1 0.0000 0.5000 0.8448
Sb2 0.5000 0.0000 0.1552

Results
Fermi-level density of states (states/eV/cell): 5.8
Energy above the most stable polymorph in this dataset (meV per atom): 0
Total magnetic moment (μB/f.u.): 0.000
Formation energy (no corrections) (meV per atom): -616
VASP energy (hartree per atom): -0.2140
SG: Pmmn (59)


(6)
First-principles (PBE-GGA) data for crystalline SmThN2 at its relaxed geometry, as listed in the Alexandria database.

abc: 3.6218 3.6218 11.9226
angles: 90.00 90.00 120.00
Atoms (fractional coordinates):
Th1 0.0000 0.0000 0.0000
Th2 0.0000 0.0000 0.5000
N1 0.3333 0.6667 0.3822
N2 0.6667 0.3333 0.6178
N3 0.6667 0.3333 0.8822
N4 0.3333 0.6667 0.1178
Sm1 0.6667 0.3333 0.2500
Sm2 0.3333 0.6667 0.7500

Results
Fermi-level density of states (states/eV/cell): 3.1
Total magnetic moment (μB/f.u.): 0.000
Formation energy (no corrections) (meV per atom): -1525
VASP energy (hartree per atom): -0.3205
SG: P6_3/mmc (194)


(7)
First-principles (PBE-GGA) data for crystalline MnOsRu2 at its relaxed geometry, as listed in the Alexandria database.

abc: 4.0951 2.6912 5.0899
angles: 74.65 90.00 90.00
Atoms (fractional coordinates):
Os1 0.5000 0.5616 0.7512
Ru1 0.0000 0.9519 0.9710
Ru2 0.5000 0.2939 0.2876
Mn1 0.0000 0.6927 0.4902

Results
Fermi-level density of states (states/eV/cell): 4.1
Energy above the most stable polymorph in this dataset (meV per atom): 27
Total magnetic moment (μB/f.u.): 0.470
VASP energy (hartree per atom): -0.3540
Formation enthalpy at 0 K (eV/atom): 0.10
SG: Amm2 (38)


(8)
First-principles (PBE-GGA) data for crystalline LaSc2Be at its relaxed geometry, as listed in the Alexandria database.

abc: 3.2735 3.2736 8.5640
angles: 90.00 90.00 89.98
Atoms (fractional coordinates):
Sc1 0.0000 0.0000 0.4279
Sc2 0.0000 0.0000 0.0721
Be1 0.5000 0.5000 0.2500
La1 0.5000 0.5000 0.7500

Results
Fermi-level density of states (states/eV/cell): 4.8
Total magnetic moment (μB/f.u.): 0.000
VASP energy (hartree per atom): -0.1941
Formation enthalpy at 0 K (eV/atom): 0.05
SG: P4/mmm (123)


(9)
First-principles (PBE-GGA) data for crystalline Na3LaTc at its relaxed geometry, as listed in the Alexandria database.

abc: 6.9760 5.5917 8.9490
angles: 90.00 111.87 90.00
Atoms (fractional coordinates):
Na1 0.8195 0.2500 0.5472
Na2 0.1805 0.7500 0.4528
Na3 0.2768 0.0050 0.8319
Na4 0.7232 0.9950 0.1681
Na5 0.7232 0.5050 0.1681
Na6 0.2768 0.4950 0.8319
La1 0.7678 0.7500 0.7899
La2 0.2322 0.2500 0.2101
Tc1 0.0428 0.7500 0.0320
Tc2 0.9572 0.2500 0.9680

Results
Fermi-level density of states (states/eV/cell): 6.7
Energy above the most stable polymorph in this dataset (meV per atom): 317
Total magnetic moment (μB/f.u.): 0.000
VASP energy (hartree per atom): -0.1286
Formation enthalpy at 0 K (eV/atom): 0.35
SG: P2_1/m (11)


(10)
First-principles (PBE-GGA) data for crystalline Ce2Se2Br at its relaxed geometry, as listed in the Alexandria database.

abc: 4.0429 7.8926 8.8578
angles: 90.00 103.19 90.00
Atoms (fractional coordinates):
Se1 0.8205 0.4610 0.6410
Se2 0.0322 0.2633 0.0644
Se3 0.1795 0.9610 0.3590
Se4 0.9678 0.7633 0.9356
Ce1 0.7944 0.8374 0.5888
Ce2 0.5498 0.9818 0.0996
Ce3 0.2056 0.3374 0.4112
Ce4 0.4502 0.4818 0.9004
Br1 0.6316 0.5907 0.2632
Br2 0.3684 0.0907 0.7368

Results
Fermi-level density of states (states/eV/cell): 23.8
Total magnetic moment (μB/f.u.): 2.815
Formation energy (no corrections) (meV per atom): -1731
VASP energy (hartree per atom): -0.2143
SG: Cmc2_1 (36)


(11)
First-principles (PBE-GGA) data for crystalline Na3Ho3TaS8 at its relaxed geometry, as listed in the Alexandria database.

abc: 7.7321 7.7317 8.1196
angles: 118.45 90.00 120.01
Atoms (fractional coordinates):
Ho1 0.5000 0.5000 0.5000
Ho2 0.0000 0.5000 0.5000
Ho3 0.5000 0.0000 0.5000
S1 0.7428 0.4856 0.7282
S2 0.2572 0.5144 0.2718
S3 0.2260 0.4521 0.7138
S4 0.7619 0.9879 0.7136
S5 0.2260 0.9880 0.7137
S6 0.7740 0.0120 0.2863
S7 0.7740 0.5479 0.2862
S8 0.2381 0.0121 0.2864
Na1 0.0000 0.5000 0.0000
Na2 0.0000 0.0000 0.0000
Na3 0.5000 0.5000 0.0000
Ta1 0.0000 0.0000 0.5000

Results
Fermi-level density of states (states/eV/cell): 4.1
Total magnetic moment (μB/f.u.): 0.932
Formation energy (no corrections) (meV per atom): -1631
VASP energy (hartree per atom): -0.2132
SG: R-3m (166)


(12)
First-principles (PBE-GGA) data for crystalline Sr2ScCo2 at its relaxed geometry, as listed in the Alexandria database.

abc: 7.0857 7.0857 4.8556
angles: 90.00 90.00 90.00
Atoms (fractional coordinates):
Co1 0.1129 0.3871 0.0000
Co2 0.8871 0.6129 0.0000
Co3 0.6129 0.1129 0.0000
Co4 0.3871 0.8871 0.0000
Sc1 0.5000 0.5000 0.0000
Sc2 0.0000 0.0000 0.0000
Sr1 0.8245 0.3245 0.5000
Sr2 0.6755 0.8245 0.5000
Sr3 0.3245 0.1755 0.5000
Sr4 0.1755 0.6755 0.5000

Results
Fermi-level density of states (states/eV/cell): 17.5
Total magnetic moment (μB/f.u.): 0.959
VASP energy (hartree per atom): -0.1641
Formation enthalpy at 0 K (eV/atom): 0.31
SG: P4/mbm (127)